Compound: Li3Cr3GaO8
Source: Alexandria
Functional: GGA+U
Structure: optimized geometry

Cell lengths 5.201, 5.922, 10.681 Å; angles 73.42, 75.64, 72.67 degrees
Site moments in Bohr magnetons follow the coordinates.
Element x y z (fractional)
Li: 0.998 0.512 0.997  0.00
Li: 0.003 0.127 0.254  0.00
Li: 0.993 0.254 0.499  -0.01
Li: 0.001 0.370 0.748  0.00
Li: 0.998 0.988 0.993  0.00
Li: 0.998 0.747 0.499  0.00
Cr: 0.493 0.316 0.126  2.21
Cr: 0.495 0.811 0.127  2.98
Cr: 0.500 0.063 0.626  2.98
Cr: 0.510 0.185 0.875  2.98
Cr: 0.515 0.932 0.374  2.98
Cr: 0.484 0.569 0.628  2.21
Ga: 0.495 0.439 0.375  0.04
Ga: 0.511 0.693 0.871  0.04
O: 0.280 0.159 0.062  -0.05
O: 0.287 0.643 0.057  -0.05
O: 0.286 0.267 0.309  -0.04
O: 0.289 0.031 0.814  -0.03
O: 0.289 0.778 0.315  -0.02
O: 0.268 0.403 0.562  -0.02
O: 0.288 0.523 0.808  -0.06
O: 0.288 0.895 0.560  -0.07
O: 0.727 0.101 0.440  -0.02
O: 0.709 0.464 0.186  -0.04
O: 0.711 0.993 0.184  -0.08
O: 0.710 0.243 0.684  -0.06
O: 0.713 0.588 0.452  -0.04
O: 0.727 0.347 0.942  -0.02
O: 0.713 0.717 0.686  -0.03
O: 0.721 0.845 0.946  -0.03

For the energy above the most stable polymorph in this dataset, the calculation gives 0 meV per atom. The spin magnetization is 16.000 μB per cell. Its space-group type is P1, No. 1.